[1]
The following is a DFT calculation (PBE) of a relaxed OsRu2Rh6 crystal.

Values from the calculation:
* ΔH_f (0 K): 0.46 eV/f.u.
* relative energy among the computed polymorphs: 0.000 eV per atom
* crystal system: monoclinic

Cell lengths 3.8249, 4.6982, 8.1590 Å; angles 73.23, 90.00, 114.02 degrees
With the nearest neighbours (Å) after each atom.
Positions (direct):
Rh (0.3353, 0.6706, 0.7240)  3 Ru 2.66-2.74, 7 Rh 2.68-2.75, 2 Os 2.71
Os (0.0000, 0.0000, 0.5000)  12 Rh 2.70-2.71
Rh (0.9980, 0.9959, 0.8321)  6 Rh 2.68-2.75, 5 Ru 2.68-2.74, 1 Os 2.70
Rh (0.3320, 0.6641, 0.3903)  8 Rh 2.69-2.73, 3 Os 2.70-2.71, 1 Ru 2.77
Rh (0.0020, 0.0041, 0.1679)  6 Rh 2.68-2.75, 5 Ru 2.68-2.74, 1 Os 2.70
Ru (0.6647, 0.3293, 0.9504)  9 Rh 2.66-2.77, 3 Ru 2.68
Ru (0.3353, 0.6707, 0.0496)  9 Rh 2.66-2.77, 3 Ru 2.68
Rh (0.6680, 0.3359, 0.6097)  8 Rh 2.69-2.73, 3 Os 2.70-2.71, 1 Ru 2.77
Rh (0.6647, 0.3294, 0.2760)  3 Ru 2.66-2.74, 7 Rh 2.68-2.75, 2 Os 2.71

[2]
The following is a DFT calculation (PBE) of a relaxed Ac2IO3 crystal.

Values from the calculation:
* formation energy from raw total energies: -2.555 eV per atom
* crystal system: hexagonal

Cell lengths 3.4005, 6.6278, 6.6278 Å; angles 120.00, 90.00, 90.00 degrees
With the nearest neighbours (Å) after each atom.
Positions (direct):
Ac (0.0000, 0.6667, 0.3333)  6 O 2.56
Ac (0.0000, 0.3333, 0.6667)  6 O 2.56
O (0.5000, 0.0000, 0.5000)  4 Ac 2.56
I (0.0000, 0.0000, 0.0000)  2 I 3.40, 12 O 3.72
O (0.5000, 0.5000, 0.5000)  4 Ac 2.56
O (0.5000, 0.5000, 0.0000)  4 Ac 2.56

[3]
The following is a DFT calculation (PBE) of a relaxed Tb12Sc5In2 crystal.

Values from the calculation:
* ΔH_f (0 K): 0.41 eV/f.u.
* crystal system: monoclinic

Cell lengths 9.0816, 8.7001, 8.2894 Å; angles 91.56, 90.00, 121.46 degrees
With the nearest neighbours (Å) after each atom.
Positions (direct):
Tb (0.9117, 0.8233, 0.1172)  5 Tb 3.31-3.49, 3 Sc 3.35-3.42, 2 In 3.38
Sc (0.6874, 0.3748, 0.0096)  2 In 3.20, 6 Tb 3.32-3.54, 1 Sc 3.55
Tb (0.0883, 0.1767, 0.8828)  5 Tb 3.31-3.49, 3 Sc 3.35-3.42, 2 In 3.38
Tb (0.4250, 0.2489, 0.6564)  4 Sc 3.24-3.54, 5 Tb 3.25-3.62, 1 In 3.45
Tb (0.3383, 0.3036, 0.2360)  1 In 3.19, 4 Tb 3.27-3.49, 2 Sc 3.46-3.51
Sc (0.2333, 0.4666, 0.5816)  8 Tb 3.18-3.51, 2 Sc 3.51-3.55
Tb (0.8238, 0.2489, 0.6564)  4 Sc 3.24-3.54, 5 Tb 3.25-3.62, 1 In 3.45
In (0.6751, 0.0000, 0.0000)  1 In 3.18, 8 Tb 3.19-3.45, 2 Sc 3.20
Sc (0.3126, 0.6252, 0.9904)  2 In 3.20, 6 Tb 3.32-3.54, 1 Sc 3.55
Tb (0.4432, 0.8864, 0.6731)  2 Sc 3.18-3.32, 2 In 3.23, 7 Tb 3.25-3.40
Tb (0.0348, 0.6964, 0.7640)  1 In 3.19, 4 Tb 3.27-3.49, 2 Sc 3.46-3.51
Tb (0.5568, 0.1136, 0.3269)  2 Sc 3.18-3.32, 2 In 3.23, 7 Tb 3.25-3.40
Sc (0.7667, 0.5334, 0.4184)  8 Tb 3.18-3.51, 2 Sc 3.51-3.55
Tb (0.1762, 0.7511, 0.3436)  4 Sc 3.24-3.54, 5 Tb 3.25-3.62, 1 In 3.45
Tb (0.5750, 0.7511, 0.3436)  4 Sc 3.24-3.54, 5 Tb 3.25-3.62, 1 In 3.45
Sc (0.0000, 0.0000, 0.5000)  10 Tb 3.39-3.61, 2 Sc 3.51
In (0.3249, 0.0000, 0.0000)  1 In 3.18, 8 Tb 3.19-3.45, 2 Sc 3.20
Tb (0.9652, 0.3036, 0.2360)  1 In 3.19, 4 Tb 3.27-3.49, 2 Sc 3.46-3.51
Tb (0.6617, 0.6964, 0.7640)  1 In 3.19, 4 Tb 3.27-3.49, 2 Sc 3.46-3.51

[4]
The following is a DFT calculation (PBE) of a relaxed BeNiC3 crystal.

Values from the calculation:
* ΔH_f (0 K): 11.73 eV/f.u.
* relative energy among the computed polymorphs: 0.000 eV per atom
* crystal system: cubic

Cell lengths 3.5000, 3.5000, 3.5000 Å; angles 90.00, 90.00, 90.00 degrees
With the nearest neighbours (Å) after each atom.
Positions (direct):
Be (0.0000, 0.0000, 0.0000)  6 C 1.75
C (0.0000, 0.5000, 0.0000)  2 Be 1.75
Ni (0.5000, 0.5000, 0.5000)  12 C 2.47
C (0.5000, 0.0000, 0.0000)  2 Be 1.75
C (0.0000, 0.0000, 0.5000)  2 Be 1.75

[5]
The following is a DFT calculation (PBE) of a relaxed Li2ThHg8 crystal.

Values from the calculation:
* ΔH_f (0 K): -2.23 eV/f.u.
* crystal system: orthorhombic

Cell lengths 4.7424, 7.9445, 8.3517 Å; angles 118.40, 106.49, 90.00 degrees
With the nearest neighbours (Å) after each atom.
Positions (direct):
Hg (0.8387, 0.8388, 0.6775)  2 Li 3.00, 4 Hg 3.03-3.35, 2 Th 3.26
Hg (0.3466, 0.1466, 0.6932)  3 Li 2.95-3.08, 4 Hg 3.03-3.19, 1 Th 3.20
Hg (0.0000, 0.6870, 0.9999)  5 Hg 2.97-3.19, 2 Li 3.23-3.24
Hg (0.3465, 0.5467, 0.6931)  3 Li 2.95-3.08, 4 Hg 3.03-3.19, 1 Th 3.20
Li (0.7934, 0.2933, 0.5867)  10 Hg 2.95-3.24
Th (0.5000, 0.0000, 0.0000)  12 Hg 3.20-3.44
Hg (0.6535, 0.4533, 0.3069)  3 Li 2.95-3.08, 4 Hg 3.03-3.19, 1 Th 3.20
Hg (0.6534, 0.8534, 0.3068)  3 Li 2.95-3.08, 4 Hg 3.03-3.19, 1 Th 3.20
Hg (0.0000, 0.3130, 0.0001)  5 Hg 2.97-3.19, 2 Li 3.23-3.24
Li (0.2066, 0.7067, 0.4133)  10 Hg 2.95-3.24
Hg (0.1613, 0.1612, 0.3225)  2 Li 3.00, 4 Hg 3.03-3.35, 2 Th 3.26

[6]
The following is a DFT calculation (PBE) of a relaxed BiPCl crystal.

Values from the calculation:
* formation energy from raw total energies: -0.360 eV per atom
* relative energy among the computed polymorphs: 0.056 eV per atom
* crystal system: monoclinic

Cell lengths 11.8385, 4.2904, 7.4154 Å; angles 90.00, 101.58, 90.00 degrees
With the nearest neighbours (Å) after each atom.
Positions (direct):
Cl (0.3497, 0.0000, 0.7791)  3 Bi 2.96-2.97
P (0.0932, 0.0000, 0.0288)  1 P 2.16
Bi (0.7913, 0.0000, 0.6009)  3 P 2.81, 3 Cl 2.96-2.97
Cl (0.3497, 0.5000, 0.2791)  3 Bi 2.96-2.97
Bi (0.2087, 0.5000, 0.8991)  3 P 2.81, 3 Cl 2.96-2.97
Bi (0.7913, 0.5000, 0.1009)  3 P 2.81, 3 Cl 2.96-2.97
P (0.9068, 0.5000, 0.4712)  1 P 2.16
P (0.0932, 0.5000, 0.5288)  1 P 2.16
Cl (0.6503, 0.0000, 0.2209)  3 Bi 2.96-2.97
Cl (0.6503, 0.5000, 0.7209)  3 Bi 2.96-2.97
P (0.9068, 0.0000, 0.9712)  1 P 2.16
Bi (0.2087, 0.0000, 0.3991)  3 P 2.81, 3 Cl 2.96-2.97

[7]
The following is a DFT calculation (PBE) of a relaxed BaZnPb2F8 crystal.

Values from the calculation:
* formation energy from raw total energies: -2.691 eV per atom
* crystal system: triclinic

Cell lengths 4.3522, 5.9206, 8.2414 Å; angles 93.55, 86.67, 94.80 degrees
With the nearest neighbours (Å) after each atom.
Positions (direct):
F (0.4872, 0.7366, 0.4966)  2 Pb 2.52-2.65, 2 Ba 2.61-2.73, 1 F 2.82
F (0.9630, 0.3176, 0.7487)  2 Pb 2.42-2.48, 1 Ba 2.70
Pb (0.4748, 0.5085, 0.7639)  7 F 2.42-2.70
F (0.0370, 0.6824, 0.2513)  2 Pb 2.42-2.48, 1 Ba 2.70
F (0.6117, 0.7793, 0.0293)  1 Zn 2.06
Ba (0.0000, 0.0000, 0.5000)  8 F 2.61-2.73
F (0.5128, 0.2634, 0.5034)  2 Pb 2.52-2.65, 2 Ba 2.61-2.73, 1 F 2.82
Pb (0.5252, 0.4915, 0.2361)  7 F 2.42-2.70
F (0.0639, 0.8288, 0.7923)  1 Zn 1.95
F (0.9361, 0.1712, 0.2077)  1 Zn 1.95
F (0.3883, 0.2207, 0.9707)  1 Zn 2.06
Zn (0.0000, 0.0000, 0.0000)  4 F 1.95-2.06

[8]
The following is a DFT calculation (PBE) of a relaxed Ce2PrSi2 crystal.

Values from the calculation:
* formation energy from raw total energies: -0.378 eV per atom
* relative energy among the computed polymorphs: 0.180 eV per atom
* crystal system: monoclinic

Cell lengths 4.2466, 5.5902, 11.6311 Å; angles 104.86, 90.00, 90.00 degrees
With the nearest neighbours (Å) after each atom.
Positions (direct):
Ce (0.7500, 0.6656, 0.4847)  4 Si 2.88-3.19, 2 Ce 2.90
Ce (0.7500, 0.1930, 0.1274)  5 Si 2.98-3.05
Pr (0.2500, 0.7492, 0.2260)  5 Si 3.01-3.13
Si (0.2500, 0.9159, 0.6353)  5 Ce 2.88-3.19, 2 Pr 3.01
Ce (0.2500, 0.3344, 0.5153)  4 Si 2.88-3.19, 2 Ce 2.90
Si (0.2500, 0.3613, 0.9791)  2 Si 2.60
Si (0.7500, 0.0841, 0.3647)  5 Ce 2.88-3.19, 2 Pr 3.01
Ce (0.2500, 0.8070, 0.8726)  5 Si 2.98-3.05
Si (0.7500, 0.6387, 0.0209)  2 Si 2.60
Pr (0.7500, 0.2508, 0.7740)  5 Si 3.01-3.13

[9]
The following is a DFT calculation (PBE) of a relaxed SiAsN2O crystal.

Values from the calculation:
* formation energy from raw total energies: 0.052 eV per atom
* crystal system: tetragonal

Cell lengths 3.6888, 3.6888, 3.4993 Å; angles 90.00, 90.00, 90.00 degrees
With the nearest neighbours (Å) after each atom.
Positions (direct):
Si (0.0000, 0.0000, 0.0000)  2 O 1.75, 4 N 1.84
N (0.5000, 0.0000, 0.0000)  2 Si 1.84
As (0.5000, 0.5000, 0.5000)  8 N 2.54, 4 O 2.61
N (0.0000, 0.5000, 0.0000)  2 Si 1.84
O (0.0000, 0.0000, 0.5000)  2 Si 1.75

[10]
The following is a DFT calculation (PBE) of a relaxed K2MgW crystal.

Values from the calculation:
* ΔH_f (0 K): 6.05 eV/f.u.
* crystal system: tetragonal

Cell lengths 5.9831, 4.4225, 4.4225 Å; angles 90.00, 90.00, 90.00 degrees
With the nearest neighbours (Å) after each atom.
Positions (direct):
Mg (0.5000, 0.5000, 0.0000)  4 W 3.13
K (0.0000, 0.0000, 0.0000)  4 K 3.13
K (0.0000, 0.5000, 0.5000)  4 K 3.13
W (0.5000, 0.0000, 0.5000)  4 Mg 3.13

[11]
The following is a DFT calculation (PBE) of a relaxed TbDyIrOs crystal.

Values from the calculation:
* ΔH_f (0 K): -1.69 eV/f.u.
* crystal system: cubic

Cell lengths 4.8394, 4.8394, 4.8394 Å; angles 60.00, 60.00, 60.00 degrees
With the nearest neighbours (Å) after each atom.
Positions (direct):
Ir (0.2500, 0.2500, 0.2500)  4 Tb 2.96, 4 Dy 2.96
Os (0.7500, 0.7500, 0.7500)  4 Tb 2.96, 4 Dy 2.96
Dy (0.0000, 0.0000, 0.0000)  4 Os 2.96, 4 Ir 2.96
Tb (0.5000, 0.5000, 0.5000)  4 Os 2.96, 4 Ir 2.96

[12]
The following is a DFT calculation (PBE) of a relaxed Nd12Ho6Er crystal.

Values from the calculation:
* ΔH_f (0 K): 0.31 eV/f.u.
* relative energy among the computed polymorphs: 0.000 eV per atom
* crystal system: trigonal

Cell lengths 9.5791, 9.5791, 9.5791 Å; angles 110.89, 110.89, 110.89 degrees
With the nearest neighbours (Å) after each atom.
Positions (direct):
Nd (0.7374, 0.1042, 0.1569)  1 Er 3.61, 8 Nd 3.61-3.64, 3 Ho 3.63-3.67
Nd (0.8431, 0.2626, 0.8958)  1 Er 3.61, 8 Nd 3.61-3.64, 3 Ho 3.63-3.67
Nd (0.9436, 0.4196, 0.6285)  4 Ho 3.60-3.67, 8 Nd 3.61-3.64
Nd (0.8958, 0.8431, 0.2626)  1 Er 3.61, 8 Nd 3.61-3.64, 3 Ho 3.63-3.67
Ho (0.2136, 0.3169, 0.4715)  4 Ho 3.55-3.59, 7 Nd 3.60-3.67, 1 Er 3.61
Nd (0.1042, 0.1569, 0.7374)  1 Er 3.61, 8 Nd 3.61-3.64, 3 Ho 3.63-3.67
Ho (0.7864, 0.6831, 0.5285)  4 Ho 3.55-3.59, 7 Nd 3.60-3.67, 1 Er 3.61
Nd (0.3715, 0.0564, 0.5804)  4 Ho 3.60-3.67, 8 Nd 3.61-3.64
Ho (0.4715, 0.2136, 0.3169)  4 Ho 3.55-3.59, 7 Nd 3.60-3.67, 1 Er 3.61
Er (0.0000, 0.0000, 0.0000)  6 Nd 3.61, 6 Ho 3.61
Nd (0.2626, 0.8958, 0.8431)  1 Er 3.61, 8 Nd 3.61-3.64, 3 Ho 3.63-3.67
Nd (0.4196, 0.6285, 0.9436)  4 Ho 3.60-3.67, 8 Nd 3.61-3.64
Ho (0.6831, 0.5285, 0.7864)  4 Ho 3.55-3.59, 7 Nd 3.60-3.67, 1 Er 3.61
Nd (0.5804, 0.3715, 0.0564)  4 Ho 3.60-3.67, 8 Nd 3.61-3.64
Nd (0.0564, 0.5804, 0.3715)  4 Ho 3.60-3.67, 8 Nd 3.61-3.64
Nd (0.1569, 0.7374, 0.1042)  1 Er 3.61, 8 Nd 3.61-3.64, 3 Ho 3.63-3.67
Nd (0.6285, 0.9436, 0.4196)  4 Ho 3.60-3.67, 8 Nd 3.61-3.64
Ho (0.5285, 0.7864, 0.6831)  4 Ho 3.55-3.59, 7 Nd 3.60-3.67, 1 Er 3.61
Ho (0.3169, 0.4715, 0.2136)  4 Ho 3.55-3.59, 7 Nd 3.60-3.67, 1 Er 3.61

[13]
The following is a DFT calculation (PBE) of a relaxed Gd2InHg crystal.

Values from the calculation:
* ΔH_f (0 K): -2.05 eV/f.u.
* relative energy among the computed polymorphs: 0.004 eV per atom
* crystal system: cubic

Cell lengths 5.3362, 5.3362, 5.3362 Å; angles 60.00, 60.00, 60.00 degrees
With the nearest neighbours (Å) after each atom.
Positions (direct):
Gd (0.2500, 0.2500, 0.2500)  4 Hg 3.27, 4 In 3.27
In (0.0000, 0.0000, 0.0000)  8 Gd 3.27
Hg (0.5000, 0.5000, 0.5000)  8 Gd 3.27
Gd (0.7500, 0.7500, 0.7500)  4 Hg 3.27, 4 In 3.27

[14]
The following is a DFT calculation (PBE) of a relaxed KY2As crystal.

Values from the calculation:
* ΔH_f (0 K): -1.41 eV/f.u.
* crystal system: orthorhombic

Cell lengths 10.6236, 10.6236, 10.6236 Å; angles 159.08, 158.58, 30.12 degrees
With the nearest neighbours (Å) after each atom.
Positions (direct):
Y (0.6464, 0.1464, 0.5000)  2 As 2.92
As (0.5397, 0.5397, 0.0000)  6 Y 2.87-2.92
K (0.3118, 0.8118, 0.5000)  4 K 3.86-3.95
Y (0.0020, 0.0020, 0.0000)  4 As 2.87

[15]
The following is a DFT calculation (PBE) of a relaxed PrZrInAg crystal.

Values from the calculation:
* ΔH_f (0 K): -0.60 eV/f.u.
* crystal system: cubic

Cell lengths 5.2074, 5.2074, 5.2074 Å; angles 60.00, 60.00, 60.00 degrees
With the nearest neighbours (Å) after each atom.
Positions (direct):
Pr (0.0000, 0.0000, 0.0000)  4 Ag 3.19, 4 In 3.19
In (0.7500, 0.7500, 0.7500)  4 Zr 3.19, 4 Pr 3.19
Ag (0.2500, 0.2500, 0.2500)  4 Zr 3.19, 4 Pr 3.19
Zr (0.5000, 0.5000, 0.5000)  4 In 3.19, 4 Ag 3.19

[16]
The following is a DFT calculation (PBE) of a relaxed TiGeSbO6 crystal.

Values from the calculation:
* formation energy from raw total energies: -1.883 eV per atom
* crystal system: trigonal

Cell lengths 5.0599, 5.0599, 9.1599 Å; angles 90.00, 90.00, 120.00 degrees
With the nearest neighbours (Å) after each atom.
Positions (direct):
Sb (0.0000, 0.0000, 0.5000)  6 O 2.18
O (0.0083, 0.3578, 0.6351)  1 Ge 1.92, 1 Ti 1.97
O (0.0083, 0.6505, 0.8649)  1 Ge 1.92, 1 Ti 1.97
Ti (0.3333, 0.6667, 0.2500)  6 O 1.97
Ti (0.6667, 0.3333, 0.7500)  6 O 1.97
O (0.3578, 0.0083, 0.1351)  1 Ge 1.92, 1 Ti 1.97
O (0.3578, 0.3495, 0.3649)  1 Ge 1.92, 1 Ti 1.97
O (0.6422, 0.6505, 0.6351)  1 Ge 1.92, 1 Ti 1.97
O (0.9917, 0.6422, 0.3649)  1 Ge 1.92, 1 Ti 1.97
O (0.6422, 0.9917, 0.8649)  1 Ge 1.92, 1 Ti 1.97
O (0.3495, 0.9917, 0.6351)  1 Ge 1.92, 1 Ti 1.97
O (0.9917, 0.3495, 0.1351)  1 Ge 1.92, 1 Ti 1.97
Ge (0.6667, 0.3333, 0.2500)  6 O 1.92
O (0.6505, 0.6422, 0.1351)  1 Ge 1.92, 1 Ti 1.97
O (0.3495, 0.3578, 0.8649)  1 Ge 1.92, 1 Ti 1.97
Ge (0.3333, 0.6667, 0.7500)  6 O 1.92
Sb (0.0000, 0.0000, 0.0000)  6 O 2.18
O (0.6505, 0.0083, 0.3649)  1 Ge 1.92, 1 Ti 1.97

In eV per atom, the E_tot values for the records above are, in order, -8.1589; -6.6617; -4.8571; -5.0906; -1.4451; -4.0725; -4.8233; -5.8767; -6.2842; -2.6742; -7.7541; -4.6807; -8.3123; -5.0216; -4.8803; -7.0373.